Compound: HfScCu
Source: Alexandria
Functional: GGA-PBE
Structure: relaxed

Cell: 4.625 8.030 6.134 Å, 90.00 90.00 90.00°
Space group Cmcm (No. 63)
One atom of each set of equivalent atoms:
Hf1 0.000 0.167 0.250 [4 per cell]
Sc1 0.000 0.500 0.000 [4 per cell]
Cu1 0.000 0.166 0.750 [4 per cell]

Results
* Fermi-level density of states: 0.596 states/eV/atom
* ΔH_f (0 K): -0.018 eV per atom
* distance to the lowest polymorph of the same formula: 100 meV/atom